! MnTl3Sb2O9, relaxed, DFT PBE+U; values from VASP
! symmetry	P-3m1, No. 164
! crystal system	trigonal
! DFT total energy	-5.4628	eV per atom
&SYSTEM
  ibrav = 0, nat = 15, ntyp = 4
/
ATOMIC_SPECIES
Mn 54.94 Mn.upf
Tl 204.38 Tl.upf
Sb 121.76 Sb.upf
O 16.00 O.upf
CELL_PARAMETERS angstrom
-0.4820 5.1411 -2.4740
-0.7067 -4.7529 -3.1135
-6.9162 0.0617 1.4757
ATOMIC_POSITIONS crystal
Mn 0.0000 0.0000 0.5000
Tl 0.3333 0.6667 0.6416
Tl 0.0000 0.0000 0.0000
Tl 0.6667 0.3333 0.3584
Sb 0.3333 0.6667 0.1664
Sb 0.6667 0.3333 0.8336
O 0.8296 0.1704 0.6686
O 0.8296 0.6593 0.6686
O 0.3407 0.1704 0.6686
O 0.6593 0.8296 0.3314
O 0.1704 0.3407 0.3314
O 0.1704 0.8296 0.3314
O 0.5000 0.0000 0.0000
O 0.0000 0.5000 0.0000
O 0.5000 0.5000 0.0000